<a>
Material: Ti2AuCl
Method: DFT, PBE-GGA
State: relaxed

Cell and atoms, written as POSCAR:
```
Ti2AuCl
1.0
0.000 3.240 3.240
3.240 0.000 3.240
3.240 3.240 0.000
Ti Au Cl
2 1 1
Cartesian
1.620 1.620 1.620
4.861 4.861 4.861
0.000 0.000 0.000
3.240 3.240 3.240
```

Fermi-level density of states = 6.030 states/eV/cell
Crystal system = cubic
Symmetry = Fm-3m (225)



<b>
Material: Ti2AuCl
Method: DFT, PBE-GGA
State: relaxed

Cell and atoms, written as POSCAR:
```
Ti2AuCl
1.0
-2.454 2.454 7.042
2.454 -2.454 7.042
2.454 2.454 -7.042
Ti Au Cl
4 2 2
Cartesian
3.681 0.991 -1.761
0.991 1.227 1.761
-1.227 1.464 5.282
1.464 1.227 8.803
2.454 0.000 3.521
0.000 0.000 7.042
0.000 0.000 0.000
0.000 2.454 3.521
```

Fermi-level density of states = 2.641 states/eV/cell
Crystal system = tetragonal
Symmetry = I-42d (122)



Q: Which of them is the least stable? A: <b>.



<a>
Material: TiAu3Cl
Method: DFT, PBE-GGA
State: relaxed

Cell and atoms, written as POSCAR:
```
TiAu3Cl
1.0
5.057 0.000 0.000
0.000 5.057 0.000
0.000 0.000 5.057
Ti Au Cl
1 3 1
Cartesian
0.000 0.000 0.000
0.000 0.000 2.528
0.000 2.528 0.000
2.528 0.000 0.000
2.528 2.528 2.528
```

Fermi-level density of states = 11.639 states/eV/cell
Crystal system = cubic
Symmetry = Pm-3m (221)



<b>
Material: TiAu3Cl
Method: DFT, PBE-GGA
State: relaxed

Cell and atoms, written as POSCAR:
```
TiAu3Cl
1.0
4.863 0.000 0.000
0.000 4.863 0.000
0.000 0.000 4.863
Ti Au Cl
1 3 1
Cartesian
0.000 0.000 0.000
0.000 2.431 2.431
2.431 0.000 2.431
2.431 2.431 0.000
2.431 2.431 2.431
```

Fermi-level density of states = 10.688 states/eV/cell
Crystal system = cubic
Symmetry = Pm-3m (221)



Q: Which of them is the least stable? A: <b>.



<a>
Material: Ti3AuCl
Method: DFT, PBE-GGA
State: relaxed

Cell and atoms, written as POSCAR:
```
Ti3AuCl
1.0
4.446 0.000 0.000
0.000 4.446 0.000
0.000 0.000 4.446
Ti Au Cl
3 1 1
Cartesian
0.000 0.000 2.223
0.000 2.223 0.000
2.223 0.000 0.000
2.223 2.223 2.223
0.000 0.000 0.000
```

Fermi-level density of states = 6.465 states/eV/cell
Crystal system = cubic
Symmetry = Pm-3m (221)



<b>
Material: Ti3AuCl
Method: DFT, PBE-GGA
State: relaxed

Cell and atoms, written as POSCAR:
```
Ti3AuCl
1.0
5.038 0.000 0.000
0.000 5.038 0.000
0.000 0.000 5.038
Ti Au Cl
3 1 1
Cartesian
0.000 0.000 2.519
0.000 2.519 0.000
2.519 0.000 0.000
0.000 0.000 0.000
2.519 2.519 2.519
```

Fermi-level density of states = 4.712 states/eV/cell
Crystal system = cubic
Symmetry = Pm-3m (221)



Q: Which of them is the least stable? A: <b>.



<a>
Material: TlAuCl2
Method: DFT, PBE-GGA
State: relaxed

Cell and atoms, written as POSCAR:
```
TlAuCl2
1.0
2.178 1.257 7.134
-2.178 1.257 7.134
0.000 -2.514 7.134
Tl Au Cl
1 1 2
Cartesian
0.000 0.000 0.000
0.000 0.000 17.084
0.000 0.000 5.558
0.000 0.000 9.866
```

Fermi-level density of states = 0.386 states/eV/cell
Crystal system = trigonal
Symmetry = R3m (160)



<b>
Material: TlAuCl2
Method: DFT, PBE-GGA
State: relaxed

Cell and atoms, written as POSCAR:
```
TlAuCl2
1.0
-1.834 1.965 7.632
1.834 -1.965 7.632
1.834 1.965 -7.632
Tl Au Cl
1 1 2
Cartesian
0.000 0.000 0.000
1.834 0.000 3.263
0.000 0.000 6.194
0.000 1.965 3.080
```

Fermi-level density of states = 0.825 states/eV/cell
Crystal system = orthorhombic
Symmetry = Imm2 (44)



Q: Which of them is the least stable? A: <b>.



<a>
Material: TlAuCl2
Method: DFT, PBE-GGA
State: relaxed

Cell and atoms, written as POSCAR:
```
TlAuCl2
1.0
4.003 0.000 0.000
0.000 3.929 0.000
-0.492 0.000 7.141
Tl Au Cl
1 1 2
Cartesian
0.000 0.000 0.000
1.755 0.000 3.570
1.488 1.965 5.292
2.023 1.965 1.848
```

Crystal system = monoclinic
Symmetry = P2/m (10)



<b>
Material: TlAuCl2
Method: DFT, PBE-GGA
State: relaxed

Cell and atoms, written as POSCAR:
```
TlAuCl2
1.0
2.029 1.171 8.697
-2.029 1.171 8.697
0.000 -2.343 8.697
Tl Au Cl
1 1 2
Cartesian
0.000 0.000 0.000
0.000 0.000 13.045
0.000 0.000 2.932
0.000 0.000 23.158
```

Fermi-level density of states = 5.282 states/eV/cell
Crystal system = trigonal
Symmetry = R-3m (166)



Q: Which of them is the least stable? A: <b>.



<a>
Material: TlAuCl2
Method: DFT, PBE-GGA
State: relaxed

Cell and atoms, written as POSCAR:
```
TlAuCl2
1.0
-3.115 3.115 7.082
3.115 -3.115 7.082
3.115 3.115 -7.082
Tl Au Cl
2 2 4
Cartesian
0.000 0.000 0.000
0.000 3.115 3.541
3.115 0.000 3.541
0.000 0.000 7.082
1.557 -1.094 5.311
2.020 1.557 1.770
1.557 4.209 -1.770
1.094 1.557 8.852
```

Fermi-level density of states = 0.000 states/eV/cell
Crystal system = tetragonal
Symmetry = I-42d (122)



<b>
Material: TlAuCl2
Method: DFT, PBE-GGA
State: relaxed

Cell and atoms, written as POSCAR:
```
TlAuCl2
1.0
4.604 0.000 0.000
0.000 4.336 0.000
-2.249 0.000 6.193
Tl Au Cl
1 1 2
Cartesian
0.000 0.000 0.000
0.010 2.168 4.367
-0.012 0.000 3.151
2.310 2.168 0.659
```

Fermi-level density of states = 0.000 states/eV/cell
Crystal system = monoclinic
Symmetry = Pm (6)



<c>
Material: TlAuCl2
Method: DFT, PBE-GGA
State: relaxed

Cell and atoms, written as POSCAR:
```
TlAuCl2
1.0
5.088 0.000 0.000
-2.544 4.406 0.000
0.000 0.000 14.842
Tl Au Cl
2 2 4
Cartesian
0.000 0.000 0.000
0.000 0.000 7.421
0.000 2.938 3.711
2.544 1.469 11.132
0.000 2.938 1.420
0.000 2.938 6.001
2.544 1.469 8.841
2.544 1.469 13.422
```

Fermi-level density of states = 0.000 states/eV/cell
Crystal system = hexagonal
Symmetry = P6_3/mmc (194)



<d>
Material: TlAuCl2
Method: DFT, PBE-GGA
State: relaxed

Cell and atoms, written as POSCAR:
```
TlAuCl2
1.0
2.149 1.241 6.719
-2.149 1.241 6.719
0.000 -2.482 6.719
Tl Au Cl
1 1 2
Cartesian
0.000 0.000 0.000
0.000 0.000 10.079
0.000 0.000 4.710
0.000 0.000 15.448
```

Crystal system = trigonal
Symmetry = R-3m (166)



Q: Which of them is the least stable? A: <d>.



<a>
Material: TlAuCl2
Method: DFT, PBE-GGA
State: relaxed

Cell and atoms, written as POSCAR:
```
TlAuCl2
1.0
6.692 -2.033 0.000
6.692 2.033 0.000
-1.035 0.000 4.429
Tl Au Cl
1 1 2
Cartesian
0.000 0.000 0.000
9.952 0.000 2.317
1.803 0.000 2.707
5.094 0.000 1.790
```

Crystal system = monoclinic
Symmetry = Cm (8)



<b>
Material: TlAuCl2
Method: DFT, PBE-GGA
State: relaxed

Cell and atoms, written as POSCAR:
```
TlAuCl2
1.0
3.854 0.000 0.000
0.000 3.854 0.000
0.000 0.000 7.815
Tl Au Cl
1 1 2
Cartesian
0.000 0.000 0.000
1.927 1.927 4.174
0.000 0.000 4.462
1.927 1.927 1.420
```

Fermi-level density of states = 0.274 states/eV/cell
Crystal system = tetragonal
Symmetry = P4mm (99)



<c>
Material: TlAuCl2
Method: DFT, PBE-GGA
State: relaxed

Cell and atoms, written as POSCAR:
```
TlAuCl2
1.0
3.583 0.000 0.000
0.000 3.583 0.000
0.000 0.000 7.487
Tl Au Cl
1 1 2
Cartesian
0.000 0.000 0.000
0.000 0.000 3.743
1.791 1.791 2.064
1.791 1.791 5.423
```

Crystal system = tetragonal
Symmetry = P4/mmm (123)



<d>
Material: TlAuCl2
Method: DFT, PBE-GGA
State: relaxed

Cell and atoms, written as POSCAR:
```
TlAuCl2
1.0
0.000 3.601 3.601
3.601 0.000 3.601
3.601 3.601 0.000
Tl Au Cl
1 1 2
Cartesian
0.000 0.000 0.000
1.801 1.801 1.801
3.601 3.601 3.601
5.402 5.402 5.402
```

Crystal system = cubic
Symmetry = F-43m (216)



Q: Which of them is the least stable? A: <d>.



<a>
Material: TlAuCl2
Method: DFT, PBE-GGA
State: relaxed

Cell and atoms, written as POSCAR:
```
TlAuCl2
1.0
0.000 3.655 3.655
3.655 0.000 3.655
3.655 3.655 0.000
Tl Au Cl
1 1 2
Cartesian
0.000 0.000 0.000
3.655 3.655 3.655
1.828 1.828 1.828
5.483 5.483 5.483
```

Fermi-level density of states = 0.000 states/eV/cell
Crystal system = cubic
Symmetry = Fm-3m (225)



<b>
Material: TlAuCl2
Method: DFT, PBE-GGA
State: relaxed

Cell and atoms, written as POSCAR:
```
TlAuCl2
1.0
2.059 -3.559 0.000
2.059 3.559 0.000
0.000 0.000 7.899
Tl Au Cl
1 1 2
Cartesian
0.000 0.000 0.000
0.000 0.000 3.949
2.059 0.000 2.262
2.059 0.000 5.637
```

Fermi-level density of states = 0.138 states/eV/cell
Crystal system = orthorhombic
Symmetry = Cmmm (65)



Q: Which of them is the least stable? A: <a>.



<a>
Material: TlAuCl2
Method: DFT, PBE-GGA
State: relaxed

Cell and atoms, written as POSCAR:
```
TlAuCl2
1.0
-2.020 3.151 4.235
2.020 -3.151 4.235
2.020 3.151 -4.235
Tl Au Cl
1 1 2
Cartesian
0.000 0.000 0.000
0.000 0.000 4.235
2.020 0.000 2.546
0.000 3.151 1.689
```

Crystal system = orthorhombic
Symmetry = Immm (71)



<b>
Material: TlAuCl2
Method: DFT, PBE-GGA
State: relaxed

Cell and atoms, written as POSCAR:
```
TlAuCl2
1.0
3.867 0.000 0.000
0.000 4.351 0.000
0.000 0.000 6.355
Tl Au Cl
1 1 2
Cartesian
0.000 0.000 0.000
0.000 2.175 3.178
1.934 0.000 3.178
1.934 2.175 0.000
```

Fermi-level density of states = 1.133 states/eV/cell
Crystal system = orthorhombic
Symmetry = Pmmm (47)



<c>
Material: TlAuCl2
Method: DFT, PBE-GGA
State: relaxed

Cell and atoms, written as POSCAR:
```
TlAuCl2
1.0
2.314 -3.427 0.000
2.314 3.427 0.000
0.000 0.000 8.046
Tl Au Cl
1 1 2
Cartesian
0.000 0.000 0.000
2.314 0.000 3.139
0.000 0.000 3.626
2.314 0.000 6.419
```

Crystal system = orthorhombic
Symmetry = Cmm2 (35)



Q: Which of them is the least stable? A: <b>.



<a>
Material: TlAu2Cl
Method: DFT, PBE-GGA
State: relaxed

Cell and atoms, written as POSCAR:
```
TlAu2Cl
1.0
3.805 -1.922 0.000
3.805 1.922 0.000
-2.762 0.000 7.068
Tl Au Cl
1 2 1
Cartesian
0.000 0.000 0.000
2.763 0.000 3.170
5.218 0.000 1.766
-0.327 0.000 4.910
```

Fermi-level density of states = 0.852 states/eV/cell
Crystal system = monoclinic
Symmetry = Cm (8)



<b>
Material: TlAu2Cl
Method: DFT, PBE-GGA
State: relaxed

Cell and atoms, written as POSCAR:
```
TlAu2Cl
1.0
-3.996 3.996 2.913
3.996 -3.996 2.913
3.996 3.996 -2.913
Tl Au Cl
2 4 2
Cartesian
0.000 0.000 0.000
0.000 3.996 1.456
1.998 -1.983 2.185
2.012 1.998 0.728
1.998 5.979 -0.728
1.983 1.998 3.641
3.996 0.000 1.456
0.000 0.000 2.913
```

Fermi-level density of states = 1.292 states/eV/cell
Crystal system = tetragonal
Symmetry = I-42d (122)



Q: Which of them is the least stable? A: <b>.



<a>
Material: TlAu2Cl
Method: DFT, PBE-GGA
State: relaxed

Cell and atoms, written as POSCAR:
```
TlAu2Cl
1.0
3.764 0.000 0.000
0.000 3.784 0.000
0.000 0.000 8.003
Tl Au Cl
1 2 1
Cartesian
0.000 0.000 0.000
0.000 0.000 3.071
1.882 1.892 3.627
1.882 1.892 6.544
```

Fermi-level density of states = 0.719 states/eV/cell
Crystal system = orthorhombic
Symmetry = Pmm2 (25)



<b>
Material: TlAu2Cl
Method: DFT, PBE-GGA
State: relaxed

Cell and atoms, written as POSCAR:
```
TlAu2Cl
1.0
4.195 0.000 0.000
1.380 3.966 0.000
1.749 1.204 6.437
Tl Au Cl
1 2 1
Cartesian
0.000 0.000 0.000
3.334 2.328 3.751
5.333 3.757 4.787
1.983 1.414 1.840
```

Fermi-level density of states = 0.984 states/eV/cell
Crystal system = triclinic
Symmetry = P1 (1)



Q: Which of them is the least stable? A: <b>.



<a>
Material: TlAu2Cl
Method: DFT, PBE-GGA
State: relaxed

Cell and atoms, written as POSCAR:
```
TlAu2Cl
1.0
0.000 3.547 3.547
3.547 0.000 3.547
3.547 3.547 0.000
Tl Au Cl
1 2 1
Cartesian
0.000 0.000 0.000
1.774 1.774 1.774
5.321 5.321 5.321
3.547 3.547 3.547
```

Fermi-level density of states = 3.111 states/eV/cell
Crystal system = cubic
Symmetry = Fm-3m (225)



<b>
Material: TlAu2Cl
Method: DFT, PBE-GGA
State: relaxed

Cell and atoms, written as POSCAR:
```
TlAu2Cl
1.0
3.997 0.000 0.000
0.000 3.997 0.000
0.000 0.000 5.866
Tl Au Cl
1 2 1
Cartesian
0.000 0.000 0.000
1.998 1.998 1.381
1.998 1.998 4.486
0.000 0.000 2.933
```

Fermi-level density of states = 0.758 states/eV/cell
Crystal system = tetragonal
Symmetry = P4/mmm (123)



Q: Which of them is the least stable? A: <a>.